Entry from Alexandria: crystalline PaAgSbPd at its relaxed geometry (PBE).

Values from the calculation:
**Total DFT energy (no corrections)**: -22.75 eV/cell
**ΔE_f (raw)**: -272 meV per atom
**Size of the total moment**: 0.356 μB/cell

a = 4.9348 Å, b = 4.9348 Å, c = 4.9348 Å
α = 60.00°, β = 60.00°, γ = 60.00°
Fractional coordinates of all 4 atoms:
1 Pa 0.0000 0.0000 0.0000
2 Ag 0.7500 0.7500 0.7500
3 Sb 0.5000 0.5000 0.5000
4 Pd 0.2500 0.2500 0.2500

Entry from Alexandria: crystalline TbTm3In at its relaxed geometry (PBE).

Values from the calculation:
**E above lowest polymorph**: 0.0 meV per atom
**Energy of formation from the pure elements**: -176 meV per atom
**Total DFT energy (no corrections)**: -43.33 eV/cell
**Size of the total moment**: 0.000 μB/cell

a = 12.6992 Å, b = 12.6992 Å, c = 4.7650 Å
α = 90.00°, β = 90.00°, γ = 158.34°
Fractional coordinates of all 10 atoms:
1 Tb 0.1490 0.8510 0.7500
2 Tb 0.8510 0.1490 0.2500
3 Tm 0.0479 0.9521 0.2500
4 Tm 0.2504 0.7496 0.2500
5 Tm 0.4481 0.5519 0.2500
6 Tm 0.5519 0.4481 0.7500
7 Tm 0.7496 0.2504 0.7500
8 Tm 0.9521 0.0479 0.7500
9 In 0.3481 0.6519 0.7500
10 In 0.6519 0.3481 0.2500

Entry from Alexandria: crystalline K3YNb at its relaxed geometry (PBE).

Values from the calculation:
**E above lowest polymorph**: 640.1 meV per atom
**Energy of formation from the pure elements**: 2206 meV per atom
**Total DFT energy (no corrections)**: -8.80 eV/cell
**Size of the total moment**: 2.675 μB/cell

a = 6.5457 Å, b = 6.5457 Å, c = 6.5457 Å
α = 90.00°, β = 90.00°, γ = 90.00°
Fractional coordinates of all 5 atoms:
1 K 0.0000 0.0000 0.5000
2 K 0.0000 0.5000 0.0000
3 K 0.5000 0.0000 0.0000
4 Y 0.0000 0.0000 0.0000
5 Nb 0.5000 0.5000 0.5000